An optimized crystal structure of SrTe2As, computed with GGA-PBEsol.

Structure (POSCAR):
```
SrTe2As
1.0
4.5546 0.0000 0.0000
0.0000 4.7620 0.0000
-2.1830 0.0000 5.9213
Sr Te As
1 2 1
Cartesian
0.0000 0.0000 0.0000
-0.2248 0.0000 3.3124
2.2640 2.3810 0.6932
0.8620 2.3810 4.0495
```

Calculated values
Calculated total energy ... -4.21 eV/atom

---

An optimized crystal structure of Sr4TiAs4, computed with GGA-PBEsol.

Structure (POSCAR):
```
Sr4TiAs4
1.0
12.7887 0.0000 0.0000
0.0000 12.7887 0.0000
0.0000 0.0000 12.7887
Sr Ti As
32 8 32
Cartesian
1.2234 1.7568 8.2771
1.2234 11.0320 4.5116
1.7568 4.5116 11.5653
1.7568 8.2771 1.2234
1.8798 1.8798 1.8798
1.8828 4.6376 5.1710
1.8828 8.1512 7.6178
1.8798 10.9089 10.9089
4.5116 1.2234 11.0320
4.5145 4.5145 8.2742
4.5145 8.2742 4.5145
4.5116 11.5653 1.7568
4.6376 5.1710 1.8828
4.6376 7.6178 10.9060
5.1710 1.8828 4.6376
5.1710 10.9060 8.1512
7.6178 1.8828 8.1512
7.6178 10.9060 4.6376
8.1512 5.1710 10.9060
8.1512 7.6178 1.8828
8.2771 1.2234 1.7568
8.2742 4.5145 4.5145
8.2742 8.2742 8.2742
8.2771 11.5653 11.0320
10.9089 1.8798 10.9089
10.9060 4.6376 7.6178
10.9060 8.1512 5.1710
10.9089 10.9089 1.8798
11.0320 4.5116 1.2234
11.0320 8.2771 11.5653
11.5653 1.7568 4.5116
11.5653 11.0320 8.2771
0.0000 0.0000 0.0000
0.0000 6.3944 3.1972
0.0000 6.3944 9.5916
3.1972 0.0000 6.3944
6.3944 3.1972 0.0000
6.3944 6.3944 6.3944
6.3944 9.5916 0.0000
9.5916 0.0000 6.3944
1.3947 4.9146 8.2384
1.3947 7.8741 4.5504
1.4096 1.4096 11.3792
1.4096 11.3792 1.4096
1.4798 4.9997 1.8440
1.4798 7.7890 10.9447
1.8440 1.4798 4.9997
1.8440 11.3090 7.7890
4.5504 1.3947 7.8741
4.5504 11.3941 4.9146
4.9146 4.5504 11.3941
4.9146 8.2384 1.3947
4.9848 4.9848 4.9848
4.9848 7.8039 7.8039
4.9997 1.8440 1.4798
4.9997 10.9447 11.3090
7.7890 1.8440 11.3090
7.7890 10.9447 1.4798
7.8039 4.9848 7.8039
7.8039 7.8039 4.9848
7.8741 4.5504 1.3947
7.8741 8.2384 11.3941
8.2384 1.3947 4.9146
8.2384 11.3941 7.8741
10.9447 1.4798 7.7890
10.9447 11.3090 4.9997
11.3090 4.9997 10.9447
11.3090 7.7890 1.8440
11.3792 1.4096 1.4096
11.3792 11.3792 11.3792
11.3941 4.9146 4.5504
11.3941 7.8741 8.2384
```

Calculated values
Energy of formation ... -1114.1 meV/atom

---

An optimized crystal structure of SrTlAs, computed with GGA-PBEsol.

Structure (POSCAR):
```
SrTlAs
1.0
4.4201 0.0000 0.0000
-2.2100 3.8279 0.0000
0.0000 0.0000 5.2281
Sr Tl As
1 1 1
Cartesian
0.0000 0.0000 0.0000
0.0000 2.5519 2.9921
2.2100 1.2760 1.6608
```

Calculated values
Energy of formation ... -656.8 meV/atom

---

An optimized crystal structure of SrTl2As, computed with GGA-PBEsol.

Structure (POSCAR):
```
SrTl2As
1.0
4.1472 0.0000 0.0000
0.0000 2.3203 6.0050
0.0000 -2.3203 6.0050
Sr Tl As
1 2 1
Cartesian
0.0000 0.0000 0.0000
0.0000 0.0000 8.6510
2.0736 0.0000 3.5405
2.0736 0.0000 6.5508
```

Calculated values
Energy of formation ... -462.7 meV/atom
Relative energy among the computed polymorphs ... 0.000 eV per atom

---

An optimized crystal structure of SrTl2As, computed with GGA-PBEsol.

Structure (POSCAR):
```
SrTl2As
1.0
0.0000 3.7941 3.7941
3.7941 0.0000 3.7941
3.7941 3.7941 0.0000
Sr Tl As
1 2 1
Cartesian
0.0000 0.0000 0.0000
1.8971 1.8971 1.8971
3.7941 3.7941 3.7941
5.6912 5.6912 5.6912
```

Calculated values
Energy of formation ... -297.0 meV/atom
Relative energy among the computed polymorphs ... 0.166 eV per atom

---

An optimized crystal structure of SrTlAs2, computed with GGA-PBEsol.

Structure (POSCAR):
```
SrTlAs2
1.0
3.9422 0.0000 0.0000
0.0000 4.2743 0.0000
0.0000 0.0000 6.4765
Sr Tl As
1 1 2
Cartesian
0.0000 0.0000 0.0000
0.0000 0.0000 3.2382
1.9711 2.1372 1.2274
1.9711 2.1372 5.2491
```

Calculated values
Energy of formation ... -442.7 meV/atom

---

An optimized crystal structure of SrTl3As, computed with GGA-PBEsol.

Structure (POSCAR):
```
SrTl3As
1.0
5.5194 0.0000 0.0000
0.0000 5.5194 0.0000
0.0000 0.0000 5.5194
Sr Tl As
1 3 1
Cartesian
0.0000 0.0000 0.0000
0.0000 2.7597 2.7597
2.7597 0.0000 2.7597
2.7597 2.7597 0.0000
2.7597 2.7597 2.7597
```

Calculated values
Energy of formation ... 99.0 meV/atom

---

An optimized crystal structure of Sr2TlAs, computed with GGA-PBEsol.

Structure (POSCAR):
```
Sr2TlAs
1.0
-2.5020 2.5020 4.5845
2.5020 -2.5020 4.5845
2.5020 2.5020 -4.5845
Sr Tl As
2 1 1
Cartesian
2.5020 0.0000 2.2923
0.0000 2.5020 2.2923
0.0000 0.0000 0.0000
0.0000 0.0000 4.5845
```

Calculated values
Energy of formation ... -630.3 meV/atom
Relative energy among the computed polymorphs ... 0.000 eV per atom

---

An optimized crystal structure of Sr2TlAs, computed with GGA-PBEsol.

Structure (POSCAR):
```
Sr2TlAs
1.0
-2.2907 2.2907 5.6648
2.2907 -2.2907 5.6648
2.2907 2.2907 -5.6648
Sr Tl As
2 1 1
Cartesian
0.0000 0.0000 0.0000
0.0000 2.2907 2.8324
0.0000 0.0000 5.6648
2.2907 0.0000 2.8324
```

Calculated values
Energy of formation ... -537.6 meV/atom
Relative energy among the computed polymorphs ... 0.093 eV per atom

---

An optimized crystal structure of SrTl2As2, computed with GGA-PBEsol.

Structure (POSCAR):
```
SrTl2As2
1.0
-2.2267 2.2267 6.9665
2.2267 -2.2267 6.9665
2.2267 2.2267 -6.9665
Sr Tl As
1 2 2
Cartesian
0.0000 0.0000 0.0000
2.2267 0.0000 3.4832
0.0000 2.2267 3.4832
0.0000 0.0000 5.7390
0.0000 0.0000 8.1939
```

Calculated values
Energy of formation ... -371.0 meV/atom

---

An optimized crystal structure of Sr2TlAs, computed with GGA-PBEsol.

Structure (POSCAR):
```
Sr2TlAs
1.0
0.0000 3.8909 3.8909
3.8909 0.0000 3.8909
3.8909 3.8909 0.0000
Sr Tl As
2 1 1
Cartesian
1.9454 1.9454 1.9454
5.8363 5.8363 5.8363
0.0000 0.0000 0.0000
3.8909 3.8909 3.8909
```

Calculated values
Energy of formation ... -603.0 meV/atom
Relative energy among the computed polymorphs ... 0.027 eV per atom

---

An optimized crystal structure of SrAs2W, computed with GGA-PBEsol.

Structure (POSCAR):
```
SrAs2W
1.0
-3.0598 3.0598 6.3834
3.0598 -3.0598 6.3834
3.0598 3.0598 -6.3834
Sr As W
2 4 2
Cartesian
0.0000 0.0000 0.0000
0.0000 3.0598 3.1917
1.5299 -0.8890 4.7876
2.1707 1.5299 1.5959
1.5299 3.9488 -1.5959
0.8890 1.5299 7.9793
3.0598 0.0000 3.1917
0.0000 0.0000 6.3834
```

Calculated values
Energy of formation ... 44.1 meV/atom
Relative energy among the computed polymorphs ... 0.353 eV per atom

---

An optimized crystal structure of SrAs2W, computed with GGA-PBEsol.

Structure (POSCAR):
```
SrAs2W
1.0
3.2343 0.0000 0.0000
0.0000 3.2343 0.0000
0.0000 0.0000 7.3272
Sr As W
1 2 1
Cartesian
0.0000 0.0000 0.0000
1.6171 1.6171 2.2235
1.6171 1.6171 5.1037
0.0000 0.0000 3.6636
```

Calculated values
Energy of formation ... -309.0 meV/atom
Relative energy among the computed polymorphs ... 0.000 eV per atom

---

An optimized crystal structure of SrAs2W, computed with GGA-PBEsol.

Structure (POSCAR):
```
SrAs2W
1.0
4.7881 0.0000 0.0000
0.0000 1.8125 5.3187
0.0000 -1.8125 5.3187
Sr As W
1 2 1
Cartesian
0.0000 0.0000 0.0000
0.0000 0.0000 2.9640
2.3940 0.0000 6.3341
2.3940 0.0000 2.7515
```

Calculated values
Energy of formation ... -102.4 meV/atom
Relative energy among the computed polymorphs ... 0.207 eV per atom

---

An optimized crystal structure of SrAs2W, computed with GGA-PBEsol.

Structure (POSCAR):
```
SrAs2W
1.0
1.8606 -2.2472 0.0000
1.8606 2.2472 0.0000
0.0000 0.0000 10.1806
Sr As W
1 2 1
Cartesian
0.0000 0.0000 0.0000
0.0000 0.0000 5.6654
1.8606 0.0000 2.4861
1.8606 0.0000 7.4869
```

Calculated values
Energy of formation ... 456.4 meV/atom
Relative energy among the computed polymorphs ... 0.765 eV per atom

---

An optimized crystal structure of SrYAs2, computed with GGA-PBEsol.

Structure (POSCAR):
```
SrYAs2
1.0
2.3198 -2.7163 0.0000
2.3198 2.7163 0.0000
0.0000 0.0000 7.7396
Sr Y As
1 1 2
Cartesian
0.0000 0.0000 0.0000
0.0000 0.0000 3.8698
2.3198 0.0000 2.1110
2.3198 0.0000 5.6286
```

Calculated values
Energy of formation ... -1038.1 meV/atom
Relative energy among the computed polymorphs ... 0.001 eV per atom

---

An optimized crystal structure of SrYAs2, computed with GGA-PBEsol.

Structure (POSCAR):
```
SrYAs2
1.0
3.2956 0.0000 0.0000
0.0000 3.7573 0.0000
0.0000 0.0000 7.6883
Sr Y As
1 1 2
Cartesian
0.0000 0.0000 0.0000
0.0000 0.0000 3.8441
1.6478 1.8786 2.0823
1.6478 1.8786 5.6060
```

Calculated values
Energy of formation ... -1039.6 meV/atom
Relative energy among the computed polymorphs ... 0.000 eV per atom

---

An optimized crystal structure of SrYAs2, computed with GGA-PBEsol.

Structure (POSCAR):
```
SrYAs2
1.0
-3.0992 3.0992 7.5183
3.0992 -3.0992 7.5183
3.0992 3.0992 -7.5183
Sr Y As
2 2 4
Cartesian
0.0000 0.0000 0.0000
0.0000 3.0992 3.7591
3.0992 0.0000 3.7591
0.0000 0.0000 7.5183
1.5496 -1.2567 5.6387
1.8425 1.5496 1.8796
1.5496 4.3559 -1.8796
1.2567 1.5496 9.3978
```

Calculated values
Energy of formation ... -647.5 meV/atom
Relative energy among the computed polymorphs ... 0.392 eV per atom

---

An optimized crystal structure of SrZn2As2, computed with GGA-PBEsol.

Structure (POSCAR):
```
SrZn2As2
1.0
4.1868 0.0000 0.0000
-2.0934 3.6259 0.0000
0.0000 0.0000 7.1896
Sr Zn As
1 2 2
Cartesian
0.0000 0.0000 0.0000
0.0000 2.4172 4.5238
2.0934 1.2086 2.6658
0.0000 2.4172 1.9430
2.0934 1.2086 5.2466
```

Calculated values
Energy of formation ... -657.1 meV/atom

---

An optimized crystal structure of SrZn3As, computed with GGA-PBEsol.

Structure (POSCAR):
```
SrZn3As
1.0
4.9396 0.0000 0.0000
0.0000 4.9396 0.0000
0.0000 0.0000 4.9396
Sr Zn As
1 3 1
Cartesian
0.0000 0.0000 0.0000
0.0000 2.4698 2.4698
2.4698 0.0000 2.4698
2.4698 2.4698 0.0000
2.4698 2.4698 2.4698
```

Calculated values
Energy of formation ... 137.9 meV/atom